Below is a relaxed ScAlGe crystal, with properties calculated at the PBE level.

The structure belongs to space group C2/m (No. 12); the cell edges are 10.257, 3.982 and 6.653 Å and the angles 90.00°, 126.04° and 90.00°. Symmetry generates all atoms from Sc at (0.073, 0.000, 0.330), Al at (0.153, 0.500, 0.086) and Ge at (0.153, 0.500, 0.691).

For the calculated total energy, the calculation gives -0.3988 Ry per atom. The value obtained for the density is 4.371 g cm⁻³. The density of states at the Fermi level comes out at 3.8 states/eV/cell.